(1)
VASP calculation (PBE) on a relaxed CaTmH8Rh2 crystal.

The structure in CIF format:
```
data_CaTmH8Rh2
_cell_length_a 4.0134
_cell_length_b 4.0134
_cell_length_c 26.7498
_cell_angle_alpha 90.00
_cell_angle_beta 90.00
_cell_angle_gamma 120.00
_symmetry_space_group_name_H-M 'R -3 m'
_symmetry_Int_Tables_number 166
_symmetry_space_group_name_Hall '-R 3 2"'
loop_
_atom_site_label
_atom_site_type_symbol
_atom_site_fract_x
_atom_site_fract_y
_atom_site_fract_z
Ca1 Ca 0.0000 0.0000 0.0000
Tm1 Tm 0.0000 0.0000 0.5000
H1 H 0.0000 0.0000 0.3094
H2 H 0.0481 0.5240 0.5428
Rh1 Rh 0.0000 0.0000 0.2433
```

DFT total energy, eV per atom: -4.223
Crystal system: trigonal

(2)
VASP calculation (PBE) on a relaxed Ca2UH12Rh3 crystal.

The structure in CIF format:
```
data_Ca2UH12Rh3
_cell_length_a 6.7381
_cell_length_b 6.7381
_cell_length_c 13.8911
_cell_angle_alpha 90.00
_cell_angle_beta 90.00
_cell_angle_gamma 120.00
_symmetry_space_group_name_H-M 'R -3 m'
_symmetry_Int_Tables_number 166
_symmetry_space_group_name_Hall '-R 3 2"'
loop_
_atom_site_label
_atom_site_type_symbol
_atom_site_fract_x
_atom_site_fract_y
_atom_site_fract_z
Ca1 Ca 0.0000 0.0000 0.1211
U1 U 0.0000 0.0000 0.5000
H1 H 0.0371 0.5186 0.8786
H2 H 0.0706 0.5353 0.3150
Rh1 Rh 0.0000 0.5000 0.0000
```

DFT total energy, eV per atom: -4.598
Crystal system: trigonal

(3)
VASP calculation (PBE) on a relaxed CaYH6Rh2 crystal.

The structure in CIF format:
```
data_CaYH6Rh2
_cell_length_a 4.8710
_cell_length_b 4.8710
_cell_length_c 15.2783
_cell_angle_alpha 90.00
_cell_angle_beta 90.00
_cell_angle_gamma 120.00
_symmetry_space_group_name_H-M 'R -3 m'
_symmetry_Int_Tables_number 166
_symmetry_space_group_name_Hall '-R 3 2"'
loop_
_atom_site_label
_atom_site_type_symbol
_atom_site_fract_x
_atom_site_fract_y
_atom_site_fract_z
Ca1 Ca 0.0000 0.0000 0.0000
Y1 Y 0.0000 0.0000 0.5000
H1 H 0.0303 0.5152 0.4447
Rh1 Rh 0.0000 0.0000 0.2896
```

DFT total energy, eV per atom: -4.671
Crystal system: trigonal

(4)
VASP calculation (PBE) on a relaxed Ca2ZnHRh crystal.

The structure in CIF format:
```
data_Ca2ZnHRh
_cell_length_a 5.875
_cell_length_b 4.216
_cell_length_c 8.320
_cell_angle_alpha 90.00
_cell_angle_beta 108.65
_cell_angle_gamma 90.00
_symmetry_space_group_name_H-M 'P 1 21/m 1'
_symmetry_Int_Tables_number 11
_symmetry_space_group_name_Hall '-P 2yb'
loop_
_atom_site_label
_atom_site_type_symbol
_atom_site_fract_x
_atom_site_fract_y
_atom_site_fract_z
Ca1 Ca 0.213 0.250 0.431
Ca2 Ca 0.279 0.750 0.063
Zn1 Zn 0.339 0.750 0.716
H1 H 0.380 0.750 0.512
Rh1 Rh 0.162 0.250 0.792
```

Crystal system: monoclinic
Excess energy over the best structure of this formula in the dataset, meV/atom: 35.7

(5)
VASP calculation (PBE) on a relaxed Ca2ZnHRh crystal.

The structure in CIF format:
```
data_Ca2ZnHRh
_cell_length_a 5.016
_cell_length_b 5.016
_cell_length_c 3.636
_cell_angle_alpha 90.00
_cell_angle_beta 90.00
_cell_angle_gamma 90.00
_symmetry_space_group_name_H-M 'P 4/m m m'
_symmetry_Int_Tables_number 123
_symmetry_space_group_name_Hall '-P 4 2'
loop_
_atom_site_label
_atom_site_type_symbol
_atom_site_fract_x
_atom_site_fract_y
_atom_site_fract_z
Ca1 Ca 0.000 0.500 0.000
Zn1 Zn 0.000 0.000 0.500
H1 H 0.500 0.500 0.000
Rh1 Rh 0.500 0.500 0.500
```

Crystal system: tetragonal
Excess energy over the best structure of this formula in the dataset, meV/atom: 0.0

(6)
VASP calculation (PBE) on a relaxed Ca2ZnH6Rh crystal.

The structure in CIF format:
```
data_Ca2ZnH6Rh
_cell_length_a 7.380
_cell_length_b 7.403
_cell_length_c 5.256
_cell_angle_alpha 90.00
_cell_angle_beta 134.48
_cell_angle_gamma 90.00
_symmetry_space_group_name_H-M 'C 1 2/m 1'
_symmetry_Int_Tables_number 12
_symmetry_space_group_name_Hall '-C 2y'
loop_
_atom_site_label
_atom_site_type_symbol
_atom_site_fract_x
_atom_site_fract_y
_atom_site_fract_z
Ca1 Ca 0.000 0.250 0.000
Zn1 Zn 0.000 0.000 0.500
H1 H 0.000 0.262 0.500
H2 H 0.237 0.500 0.975
H3 H 0.238 0.500 0.500
Rh1 Rh 0.000 0.500 0.500
```

DFT total energy, eV per atom: -3.682
Crystal system: monoclinic

It is found that the M_tot values, taken in the order of the records, are 0.0, 8.4, 0.0, 0.0, 0.0, 0.0 μB per cell.